# 1
Computed, not measured: a geometry-optimized MgSbF structure at the GGA-PBE level of DFT.

Uncorrected formation energy in meV per atom: -1726
Symmetry: No. 2

Unit cell a=3.2688 b=7.1226 c=6.3084 alpha=99.65 beta=106.42 gamma=88.72
Closest atoms and distances in Å follow each position.
Positions (direct):
F (0.3340, 0.4618, 0.6512)  3 Mg 2.01-2.08
F (0.6660, 0.5382, 0.3488)  3 Mg 2.01-2.08
Sb (0.8726, 0.9882, 0.7649)  1 Sb 2.82, 3 Mg 2.93-3.05
Sb (0.1274, 0.0118, 0.2351)  1 Sb 2.82, 3 Mg 2.93-3.05
Mg (0.7758, 0.3159, 0.5310)  3 F 2.01-2.08
Mg (0.2242, 0.6841, 0.4690)  3 F 2.01-2.08


# 2
Computed, not measured: a geometry-optimized MgSb2F12 structure at the GGA-PBE level of DFT.

Uncorrected formation energy in meV per atom: -2392
Symmetry: No. 115

Unit cell a=6.0190 b=6.0190 c=7.0380 alpha=90.00 beta=90.00 gamma=90.00
Closest atoms and distances in Å follow each position.
Positions (direct):
F (0.0000, 0.5000, 0.9488)  1 Sb 1.90
F (0.7479, 0.7946, 0.8009)  1 Sb 1.94
F (0.2521, 0.2054, 0.8009)  1 Sb 1.94
F (0.5000, 0.0000, 0.5146)  1 Sb 1.88
F (0.5000, 0.0000, 0.0512)  1 Sb 1.90
F (0.7946, 0.7479, 0.1991)  1 Sb 1.94
F (0.7479, 0.2054, 0.8009)  1 Sb 1.94
F (0.0000, 0.5000, 0.4854)  1 Sb 1.88
F (0.2521, 0.7946, 0.8009)  1 Sb 1.94
F (0.2054, 0.2521, 0.1991)  1 Sb 1.94
F (0.2054, 0.7479, 0.1991)  1 Sb 1.94
F (0.7946, 0.2521, 0.1991)  1 Sb 1.94
Mg (0.0000, 0.0000, 0.0000)  8 F 2.41
Sb (0.0000, 0.5000, 0.2183)  6 F 1.88-1.94
Sb (0.5000, 0.0000, 0.7817)  6 F 1.88-1.94


# 3
Computed, not measured: a geometry-optimized MgSbF5 structure at the GGA-PBE level of DFT.

Uncorrected formation energy in meV per atom: -2753
Symmetry: No. 15

Unit cell a=5.6622 b=5.6622 c=8.3046 alpha=67.78 beta=67.78 gamma=71.30
Closest atoms and distances in Å follow each position.
Positions (direct):
F (0.1605, 0.8395, 0.7500)  1 Mg 2.14, 2 Sb 2.33
F (0.3035, 0.2217, 0.3523)  1 Mg 1.95, 1 Sb 2.16
F (0.7783, 0.6965, 0.1477)  1 Mg 1.95, 1 Sb 2.16
F (0.6965, 0.7783, 0.6477)  1 Mg 1.95, 1 Sb 2.16
F (0.8395, 0.1605, 0.2500)  1 Mg 2.14, 2 Sb 2.33
F (0.3371, 0.7080, 0.0632)  1 Mg 1.97, 1 Sb 2.17
F (0.2920, 0.6629, 0.4368)  1 Mg 1.97, 1 Sb 2.17
F (0.2217, 0.3035, 0.8523)  1 Mg 1.95, 1 Sb 2.16
F (0.7080, 0.3371, 0.5632)  1 Mg 1.97, 1 Sb 2.17
F (0.6629, 0.2920, 0.9368)  1 Mg 1.97, 1 Sb 2.17
Mg (0.5146, 0.4854, 0.2500)  5 F 1.95-2.14
Mg (0.4854, 0.5146, 0.7500)  5 F 1.95-2.14
Sb (0.0000, 0.0000, 0.0000)  6 F 2.16-2.33
Sb (0.0000, 0.0000, 0.5000)  6 F 2.16-2.33


# 4
Computed, not measured: a geometry-optimized MgSbF2 structure at the GGA-PBE level of DFT.

Uncorrected formation energy in meV per atom: -1097
Symmetry: No. 225

Unit cell a=4.5464 b=4.5464 c=4.5464 alpha=60.00 beta=60.00 gamma=60.00
Closest atoms and distances in Å follow each position.
Positions (direct):
F (0.2500, 0.2500, 0.2500)  4 Sb 2.78, 4 Mg 2.78
F (0.7500, 0.7500, 0.7500)  4 Sb 2.78, 4 Mg 2.78
Mg (0.0000, 0.0000, 0.0000)  8 F 2.78
Sb (0.5000, 0.5000, 0.5000)  8 F 2.78


# 5
Computed, not measured: a geometry-optimized MgSbF5 structure at the GGA-PBE level of DFT.

Uncorrected formation energy in meV per atom: -2844
Symmetry: No. 14

Unit cell a=10.1540 b=5.6490 c=8.1215 alpha=59.96 beta=90.00 gamma=90.00
Closest atoms and distances in Å follow each position.
Positions (direct):
Sb (0.7206, 0.0581, 0.1670)  4 F 2.03-2.22
Sb (0.2206, 0.9419, 0.3330)  4 F 2.03-2.22
Sb (0.7794, 0.0581, 0.6670)  4 F 2.03-2.22
Sb (0.2794, 0.9419, 0.8330)  4 F 2.03-2.22
F (0.4363, 0.7119, 0.8096)  1 Mg 1.98, 1 Sb 2.12
F (0.8270, 0.3022, 0.3891)  1 Sb 2.03, 1 Mg 2.11
F (0.6016, 0.3584, 0.5359)  2 Mg 2.05
F (0.6730, 0.3022, 0.8891)  1 Sb 2.03, 1 Mg 2.11
F (0.8984, 0.3584, 0.0359)  2 Mg 2.05
F (0.0637, 0.7119, 0.3096)  1 Mg 1.98, 1 Sb 2.12
F (0.3984, 0.6416, 0.4641)  2 Mg 2.05
F (0.1016, 0.6416, 0.9641)  2 Mg 2.05
F (0.3270, 0.6978, 0.1109)  1 Sb 2.03, 1 Mg 2.11
F (0.9194, 0.8065, 0.6597)  1 Mg 2.00, 1 Sb 2.03
F (0.5637, 0.2881, 0.1904)  1 Mg 1.98, 1 Sb 2.12
F (0.4194, 0.1935, 0.8403)  1 Mg 2.00, 1 Sb 2.03
F (0.8422, 0.8346, 0.0620)  1 Mg 2.00, 1 Sb 2.22
F (0.3422, 0.1654, 0.4380)  1 Mg 2.00, 1 Sb 2.22
F (0.9363, 0.2881, 0.6904)  1 Mg 1.98, 1 Sb 2.12
F (0.5806, 0.8065, 0.1597)  1 Mg 2.00, 1 Sb 2.03
F (0.6578, 0.8346, 0.5620)  1 Mg 2.00, 1 Sb 2.22
F (0.1578, 0.1654, 0.9380)  1 Mg 2.00, 1 Sb 2.22
F (0.0806, 0.1935, 0.3403)  1 Mg 2.00, 1 Sb 2.03
F (0.1730, 0.6978, 0.6109)  1 Sb 2.03, 1 Mg 2.11
Mg (0.9736, 0.5310, 0.1863)  6 F 1.98-2.11
Mg (0.4736, 0.4690, 0.3137)  6 F 1.98-2.11
Mg (0.5264, 0.5310, 0.6863)  6 F 1.98-2.11
Mg (0.0264, 0.4690, 0.8137)  6 F 1.98-2.11


# 6
Computed, not measured: a geometry-optimized MgSbF5 structure at the GGA-PBE level of DFT.

Uncorrected formation energy in meV per atom: -2759
Symmetry: No. 71

Unit cell a=3.8581 b=5.6740 c=5.6740 alpha=72.93 beta=70.12 gamma=70.12
Closest atoms and distances in Å follow each position.
Positions (direct):
F (0.0000, 0.5000, 0.5000)  2 Mg 1.93
F (0.7454, 0.2546, 0.2546)  1 Mg 2.03, 1 Sb 2.11
F (0.5000, 0.1940, 0.8060)  1 Mg 2.06
F (0.2546, 0.7454, 0.7454)  1 Mg 2.03, 1 Sb 2.11
F (0.5000, 0.8060, 0.1940)  1 Mg 2.06
Sb (0.0000, 0.0000, 0.0000)  6 F 2.11-2.33
Mg (0.5000, 0.5000, 0.5000)  6 F 1.93-2.06


# 7
Computed, not measured: a geometry-optimized MgSbF2 structure at the GGA-PBE level of DFT.

Uncorrected formation energy in meV per atom: -2131
Symmetry: No. 122

Unit cell a=6.0515 b=6.0515 c=6.0660 alpha=60.08 beta=60.08 gamma=90.00
Closest atoms and distances in Å follow each position.
Positions (direct):
Sb (0.7500, 0.2500, 0.5000)  12 F 3.54-3.56, 4 Sb 3.71, 4 Mg 3.71
Sb (0.0000, 0.0000, 0.0000)  12 F 3.54-3.56, 4 Sb 3.71, 4 Mg 3.71
Mg (0.2500, 0.7500, 0.5000)  4 F 1.86
Mg (0.5000, 0.5000, 0.0000)  4 F 1.86
F (0.8750, 0.6260, 0.7500)  2 Mg 1.86
F (0.3740, 0.6250, 0.2500)  2 Mg 1.86
F (0.3750, 0.6240, 0.7500)  2 Mg 1.86
F (0.3760, 0.1250, 0.2500)  2 Mg 1.86


# 8
Computed, not measured: a geometry-optimized MgSiSbF2 structure at the GGA-PBE level of DFT.

Uncorrected formation energy in meV per atom: -1579
Symmetry: No. 123

Unit cell a=3.8085 b=7.3080 c=3.8085 alpha=90.00 beta=90.00 gamma=90.00
Closest atoms and distances in Å follow each position.
Positions (direct):
Si (0.0000, 0.5000, 0.0000)  4 Sb 2.69
Sb (0.5000, 0.5000, 0.5000)  4 Si 2.69
F (0.0000, 0.0000, 0.5000)  2 Mg 1.90
F (0.5000, 0.0000, 0.0000)  2 Mg 1.90
Mg (0.0000, 0.0000, 0.0000)  4 F 1.90